Entry 1:
Entry from Alexandria: a relaxed CaEr2PaBi4 crystal (GGA-PBE).

ΔH_f (0 K): -630 meV/atom
space group: No. 10

Cell lengths 7.7670, 4.4812, 7.7848 Å; angles 90.00, 108.97, 90.00 degrees
Sites, in units of the cell vectors:
Ca 0.0000 0.0000 0.0000
Er 0.5000 0.0000 0.5000
Er 0.5000 0.5000 0.0000
Pa 0.0000 0.5000 0.5000
Bi 0.2538 0.0000 0.7491
Bi 0.2541 0.5000 0.2571
Bi 0.7462 0.0000 0.2509
Bi 0.7459 0.5000 0.7429


Entry 2:
Entry from Alexandria: a relaxed CaPm2Er3Bi6 crystal (GGA-PBE).

ΔH_f (0 K): -831 meV/atom
space group: No. 12

Cell lengths 10.1210, 10.1210, 9.0584 Å; angles 103.15, 103.15, 25.77 degrees
Sites, in units of the cell vectors:
Ca 0.0000 0.0000 0.0000
Pm 0.3344 0.3344 0.6696
Pm 0.6656 0.6656 0.3304
Er 0.0000 0.0000 0.5000
Er 0.3338 0.3338 0.1667
Er 0.6662 0.6662 0.8333
Bi 0.1651 0.1651 0.5872
Bi 0.1691 0.1691 0.0777
Bi 0.4976 0.4976 0.2569
Bi 0.5024 0.5024 0.7431
Bi 0.8309 0.8309 0.9223
Bi 0.8349 0.8349 0.4128


Entry 3:
Entry from Alexandria: a relaxed CaPm2ErBi4 crystal (GGA-PBE).

ΔH_f (0 K): -825 meV/atom
space group: No. 10

Cell lengths 7.8682, 4.5366, 7.9358 Å; angles 90.00, 109.28, 90.00 degrees
Sites, in units of the cell vectors:
Ca 0.0000 0.0000 0.0000
Pm 0.5000 0.0000 0.5000
Pm 0.5000 0.5000 0.0000
Er 0.0000 0.5000 0.5000
Bi 0.2438 0.0000 0.7438
Bi 0.2478 0.5000 0.2543
Bi 0.7522 0.5000 0.7457
Bi 0.7562 0.0000 0.2562


Entry 4:
Entry from Alexandria: a relaxed CaPmEr2Bi4 crystal (GGA-PBE).

ΔH_f (0 K): -803 meV/atom
space group: No. 10

Cell lengths 7.8334, 4.4966, 7.8740 Å; angles 90.00, 109.15, 90.00 degrees
Sites, in units of the cell vectors:
Ca 0.0000 0.0000 0.0000
Pm 0.5000 0.5000 0.0000
Er 0.0000 0.5000 0.5000
Er 0.5000 0.0000 0.5000
Bi 0.2472 0.0000 0.7405
Bi 0.2545 0.5000 0.2610
Bi 0.7455 0.5000 0.7390
Bi 0.7528 0.0000 0.2595


Entry 5:
Entry from Alexandria: a relaxed CaPr2ErBi4 crystal (GGA-PBE).

ΔH_f (0 K): -830 meV/atom
space group: No. 10

Cell lengths 7.8933, 4.5860, 8.0063 Å; angles 90.00, 109.46, 90.00 degrees
Sites, in units of the cell vectors:
Ca 0.0000 0.0000 0.0000
Pr 0.5000 0.0000 0.5000
Pr 0.5000 0.5000 0.0000
Er 0.0000 0.5000 0.5000
Bi 0.2399 0.0000 0.7423
Bi 0.2439 0.5000 0.2533
Bi 0.7561 0.5000 0.7467
Bi 0.7601 0.0000 0.2577


Entry 6:
Entry from Alexandria: a relaxed CaSmEr2Bi4 crystal (GGA-PBE).

ΔH_f (0 K): -800 meV/atom
space group: No. 10

Cell lengths 7.8275, 4.4875, 7.8638 Å; angles 90.00, 109.12, 90.00 degrees
Sites, in units of the cell vectors:
Ca 0.0000 0.0000 0.0000
Sm 0.5000 0.5000 0.0000
Er 0.0000 0.5000 0.5000
Er 0.5000 0.0000 0.5000
Bi 0.2480 0.0000 0.7416
Bi 0.2549 0.5000 0.2603
Bi 0.7451 0.5000 0.7397
Bi 0.7520 0.0000 0.2584


Entry 7:
Entry from Alexandria: a relaxed CaSm2Er3Bi6 crystal (GGA-PBE).

ΔH_f (0 K): -826 meV/atom
space group: No. 12

Cell lengths 10.1036, 10.1036, 9.0449 Å; angles 103.11, 103.11, 25.76 degrees
Sites, in units of the cell vectors:
Ca 0.0000 0.0000 0.0000
Sm 0.3343 0.3343 0.6693
Sm 0.6657 0.6657 0.3307
Er 0.0000 0.0000 0.5000
Er 0.3341 0.3341 0.1667
Er 0.6659 0.6659 0.8333
Bi 0.1654 0.1654 0.5866
Bi 0.1692 0.1692 0.0789
Bi 0.4981 0.4981 0.2569
Bi 0.5019 0.5019 0.7431
Bi 0.8308 0.8308 0.9211
Bi 0.8346 0.8346 0.4134


Entry 8:
Entry from Alexandria: a relaxed CaSm2ErBi4 crystal (GGA-PBE).

ΔH_f (0 K): -819 meV/atom
space group: No. 10

Cell lengths 7.8590, 4.5216, 7.9118 Å; angles 90.00, 109.23, 90.00 degrees
Sites, in units of the cell vectors:
Ca 0.0000 0.0000 0.0000
Sm 0.5000 0.0000 0.5000
Sm 0.5000 0.5000 0.0000
Er 0.0000 0.5000 0.5000
Bi 0.2452 0.0000 0.7443
Bi 0.2492 0.5000 0.2547
Bi 0.7508 0.5000 0.7453
Bi 0.7548 0.0000 0.2557


Entry 9:
Entry from Alexandria: a relaxed CaTb2Er3Bi6 crystal (GGA-PBE).

ΔH_f (0 K): -813 meV/atom
space group: No. 12

Cell lengths 10.0473, 10.0473, 9.0010 Å; angles 102.99, 102.99, 25.77 degrees
Sites, in units of the cell vectors:
Ca 0.0000 0.0000 0.0000
Tb 0.3340 0.3340 0.6684
Tb 0.6660 0.6660 0.3316
Er 0.0000 0.0000 0.5000
Er 0.3349 0.3349 0.1662
Er 0.6651 0.6651 0.8338
Bi 0.1664 0.1664 0.5848
Bi 0.1695 0.1695 0.0829
Bi 0.4996 0.4996 0.2571
Bi 0.5004 0.5004 0.7429
Bi 0.8305 0.8305 0.9171
Bi 0.8336 0.8336 0.4152


Entry 10:
Entry from Alexandria: a relaxed CaEr3Th2Bi6 crystal (GGA-PBE).

ΔH_f (0 K): -751 meV/atom
space group: No. 12

Cell lengths 10.1038, 10.1038, 9.0573 Å; angles 102.81, 102.81, 25.93 degrees
Sites, in units of the cell vectors:
Ca 0.0000 0.0000 0.0000
Er 0.0000 0.0000 0.5000
Er 0.3347 0.3347 0.1669
Er 0.6653 0.6653 0.8331
Th 0.3360 0.3360 0.6712
Th 0.6640 0.6640 0.3288
Bi 0.1653 0.1653 0.5884
Bi 0.1689 0.1689 0.0767
Bi 0.4977 0.4977 0.2553
Bi 0.5023 0.5023 0.7447
Bi 0.8311 0.8311 0.9233
Bi 0.8347 0.8347 0.4116


Entry 11:
Entry from Alexandria: a relaxed Ca4ErTh3Bi8 crystal (GGA-PBE).

ΔH_f (0 K): -739 meV/atom
space group: No. 166

Cell lengths 9.1995, 9.1995, 9.1995 Å; angles 60.14, 60.14, 60.14 degrees
Sites, in units of the cell vectors:
Ca 0.0000 0.0000 0.0000
Ca 0.0000 0.5000 0.5000
Ca 0.5000 0.0000 0.5000
Ca 0.5000 0.5000 0.0000
Er 0.5000 0.5000 0.5000
Th 0.0000 0.0000 0.5000
Th 0.0000 0.5000 0.0000
Th 0.5000 0.0000 0.0000
Bi 0.2493 0.2493 0.2493
Bi 0.2525 0.7456 0.7456
Bi 0.2544 0.2544 0.7475
Bi 0.2544 0.7475 0.2544
Bi 0.7456 0.2525 0.7456
Bi 0.7456 0.7456 0.2525
Bi 0.7475 0.2544 0.2544
Bi 0.7507 0.7507 0.7507


Entry 12:
Entry from Alexandria: a relaxed Ca3Er2ThBi6 crystal (GGA-PBE).

ΔH_f (0 K): -726 meV/atom
space group: No. 12

Cell lengths 7.8607, 7.8607, 7.9846 Å; angles 99.42, 99.42, 119.87 degrees
Sites, in units of the cell vectors:
Ca 0.0000 0.0000 0.0000
Ca 0.3368 0.6632 0.0000
Ca 0.6632 0.3368 0.0000
Er 0.1672 0.8328 0.5000
Er 0.8328 0.1672 0.5000
Th 0.5000 0.5000 0.5000
Bi 0.0797 0.4196 0.2588
Bi 0.2390 0.2390 0.7383
Bi 0.4196 0.0797 0.2588
Bi 0.5804 0.9203 0.7412
Bi 0.7610 0.7610 0.2617
Bi 0.9203 0.5804 0.7412


Entry 13:
Entry from Alexandria: a relaxed CaErTlBi crystal (GGA-PBE).

ΔH_f (0 K): -429 meV/atom
space group: No. 216

Cell lengths 5.4878, 5.4878, 5.4878 Å; angles 60.00, 60.00, 60.00 degrees
Sites, in units of the cell vectors:
Ca 0.0000 0.0000 0.0000
Er 0.5000 0.5000 0.5000
Tl 0.2500 0.2500 0.2500
Bi 0.7500 0.7500 0.7500


Entry 14:
Entry from Alexandria: a relaxed CaErTm2Bi4 crystal (GGA-PBE).

ΔH_f (0 K): -760 meV/atom
space group: No. 10

Cell lengths 7.7789, 4.4420, 7.7835 Å; angles 90.00, 109.05, 90.00 degrees
Sites, in units of the cell vectors:
Ca 0.0000 0.0000 0.0000
Er 0.5000 0.5000 0.0000
Tm 0.0000 0.5000 0.5000
Tm 0.5000 0.0000 0.5000
Bi 0.2525 0.0000 0.7460
Bi 0.2572 0.5000 0.2580
Bi 0.7428 0.5000 0.7420
Bi 0.7475 0.0000 0.2540


Entry 15:
Entry from Alexandria: a relaxed CaY3Er2Bi6 crystal (GGA-PBE).

ΔH_f (0 K): -832 meV/atom
space group: No. 12

Cell lengths 10.0466, 10.0466, 9.0012 Å; angles 102.88, 102.88, 25.79 degrees
Sites, in units of the cell vectors:
Ca 0.0000 0.0000 0.0000
Y 0.0000 0.0000 0.5000
Y 0.3355 0.3355 0.1657
Y 0.6645 0.6645 0.8343
Er 0.3337 0.3337 0.6676
Er 0.6663 0.6663 0.3324
Bi 0.1676 0.1676 0.5823
Bi 0.1692 0.1692 0.0876
Bi 0.4986 0.4986 0.7442
Bi 0.5014 0.5014 0.2558
Bi 0.8308 0.8308 0.9124
Bi 0.8324 0.8324 0.4177


Entry 16:
Entry from Alexandria: a relaxed CaY2ErBi4 crystal (GGA-PBE).

ΔH_f (0 K): -812 meV/atom
space group: No. 10

Cell lengths 7.8169, 4.4726, 7.8303 Å; angles 90.00, 109.09, 90.00 degrees
Sites, in units of the cell vectors:
Ca 0.0000 0.0000 0.0000
Y 0.5000 0.0000 0.5000
Y 0.5000 0.5000 0.0000
Er 0.0000 0.5000 0.5000
Bi 0.2501 0.0000 0.7461
Bi 0.2542 0.5000 0.2561
Bi 0.7458 0.5000 0.7439
Bi 0.7499 0.0000 0.2539


Entry 17:
Entry from Alexandria: a relaxed CaYEr2Bi4 crystal (GGA-PBE).

ΔH_f (0 K): -794 meV/atom
space group: No. 10

Cell lengths 7.8080, 4.4605, 7.8171 Å; angles 90.00, 109.06, 90.00 degrees
Sites, in units of the cell vectors:
Ca 0.0000 0.0000 0.0000
Y 0.5000 0.5000 0.0000
Er 0.0000 0.5000 0.5000
Er 0.5000 0.0000 0.5000
Bi 0.2511 0.0000 0.7452
Bi 0.2562 0.5000 0.2581
Bi 0.7438 0.5000 0.7419
Bi 0.7489 0.0000 0.2548


Entry 18:
Entry from Alexandria: a relaxed CaEu2Bi crystal (GGA-PBE).

polymorph energy (0 for the lowest one): 0 meV per atom
ΔH_f (0 K): -476 meV/atom
space group: No. 123

Cell lengths 5.1730, 5.1730, 5.1315 Å; angles 90.00, 90.00, 90.00 degrees
Sites, in units of the cell vectors:
Ca 0.0000 0.0000 0.0000
Eu 0.0000 0.5000 0.5000
Eu 0.5000 0.0000 0.5000
Bi 0.5000 0.5000 0.0000


Entry 19:
Entry from Alexandria: a relaxed CaEu2Bi crystal (GGA-PBE).

polymorph energy (0 for the lowest one): 188 meV per atom
ΔH_f (0 K): -288 meV/atom
space group: No. 166

Cell lengths 10.4728, 10.4728, 10.4728 Å; angles 24.94, 24.94, 24.94 degrees
Sites, in units of the cell vectors:
Ca 0.0000 0.0000 0.0000
Eu 0.2286 0.2286 0.2286
Eu 0.7714 0.7714 0.7714
Bi 0.5000 0.5000 0.5000


Entry 20:
Entry from Alexandria: a relaxed CaEu2Bi crystal (GGA-PBE).

polymorph energy (0 for the lowest one): 27 meV per atom
ΔH_f (0 K): -450 meV/atom
space group: No. 123

Cell lengths 4.4173, 4.4173, 7.4089 Å; angles 90.00, 90.00, 90.00 degrees
Sites, in units of the cell vectors:
Ca 0.0000 0.0000 0.0000
Eu 0.5000 0.5000 0.2836
Eu 0.5000 0.5000 0.7164
Bi 0.0000 0.0000 0.5000


Entry 21:
Entry from Alexandria: a relaxed CaEuHgBi crystal (GGA-PBE).

ΔH_f (0 K): -683 meV/atom
space group: No. 216

Cell lengths 5.5809, 5.5809, 5.5809 Å; angles 60.00, 60.00, 60.00 degrees
Sites, in units of the cell vectors:
Ca 0.0000 0.0000 0.0000
Eu 0.5000 0.5000 0.5000
Hg 0.2500 0.2500 0.2500
Bi 0.7500 0.7500 0.7500


Entry 22:
Entry from Alexandria: a relaxed CaEuBiI crystal (GGA-PBE).

E_tot: -21.63 eV for the cell shown
space group: No. 216

Cell lengths 5.7354, 5.7354, 5.7354 Å; angles 60.00, 60.00, 60.00 degrees
Sites, in units of the cell vectors:
Ca 0.0000 0.0000 0.0000
Eu 0.5000 0.5000 0.5000
Bi 0.7500 0.7500 0.7500
I 0.2500 0.2500 0.2500


Entry 23:
Entry from Alexandria: a relaxed NaCaEuBi crystal (GGA-PBE).

ΔH_f (0 K): -418 meV/atom
space group: No. 216

Cell lengths 5.7130, 5.7130, 5.7130 Å; angles 60.00, 60.00, 60.00 degrees
Sites, in units of the cell vectors:
Na 0.0000 0.0000 0.0000
Ca 0.7500 0.7500 0.7500
Eu 0.2500 0.2500 0.2500
Bi 0.5000 0.5000 0.5000


Entry 24:
Entry from Alexandria: a relaxed SrCaEuBiO6 crystal (GGA-PBE).

polymorph energy (0 for the lowest one): 0 meV per atom
space group: No. 90

Cell lengths 5.9779, 5.9779, 8.6940 Å; angles 90.00, 90.00, 90.00 degrees
Sites, in units of the cell vectors:
Sr 0.0000 0.0000 0.0000
Sr 0.5000 0.5000 0.0000
Ca 0.0000 0.0000 0.5000
Ca 0.5000 0.5000 0.5000
Eu 0.0000 0.5000 0.2524
Eu 0.5000 0.0000 0.7476
Bi 0.0000 0.5000 0.7455
Bi 0.5000 0.0000 0.2545
O 0.0000 0.5000 0.5049
O 0.0000 0.5000 0.9911
O 0.1590 0.8207 0.7420
O 0.1793 0.8410 0.2580
O 0.3207 0.3410 0.7420
O 0.3410 0.3207 0.2580
O 0.5000 0.0000 0.0089
O 0.5000 0.0000 0.4951
O 0.6590 0.6793 0.2580
O 0.6793 0.6590 0.7420
O 0.8207 0.1590 0.2580
O 0.8410 0.1793 0.7420


How do the records compare in spin magnetization? In the order shown, they have 0.76, 0.00, 0.00, 0.00, 0.00, 0.00, 0.00, 0.00, 0.00, 0.00, 0.00, 0.00, 0.00, 0.00, 0.00, 0.00, 0.00, 14.69, 14.86, 14.73, 7.31, 6.99, 7.15, 6.00 μB/f.u..
How do the records compare in V? In the order shown, they have 256.2, 392.2, 267.4, 262.0, 273.3, 261.0, 390.3, 265.5, 384.4, 393.6, 552.3, 404.4, 116.9, 254.2, 384.8, 258.7, 257.3, 137.3, 179.6, 144.6, 122.9, 133.4, 131.8, 310.7 Å³ per cell.